# CoTcAu

A crystal of CoTcAu relaxed with PBEsol (meta-GGA SCAN, Alexandria via LeMat-Bulk).

Values from the calculation:
ΔE to the lowest computed polymorph   0.0 meV/atom
E_tot   -40.226 eV per atom
Energy of formation from the pure elements   0.281 eV per atom
Density of states at the Fermi level   2.17 states/eV per cell
Calculated volume   42 Å³ per cell

Unit cell a=2.6998 b=2.6998 c=6.5834 alpha=90.00 beta=90.00 gamma=120.00
Last column: nearest neighbours and their distance in Å.
Positions (direct):
Au (0.0000, 0.0000, 0.9902)  6 Au 2.70, 3 Co 2.73, 3 Tc 2.89
Co (0.6667, 0.3333, 0.6494)  3 Tc 2.46, 6 Co 2.70, 3 Au 2.73
Tc (0.3333, 0.6667, 0.3604)  3 Co 2.46, 6 Tc 2.70

---

# Cu2PSe

A crystal of Cu2PSe relaxed with PBEsol (meta-GGA SCAN, Alexandria via LeMat-Bulk).

Values from the calculation:
ΔE_f (raw)   0.9 eV per formula unit
E_tot   -14.994 eV per atom
Density of states at the Fermi level   1.58 states/eV per cell
Calculated volume   59 Å³ per cell

Unit cell a=3.3373 b=3.3940 c=5.7639 alpha=107.12 beta=106.83 gamma=90.00
Last column: nearest neighbours and their distance in Å.
Positions (direct):
Cu (0.0120, 0.0120, 0.0239)  4 P 2.42, 2 Se 2.60, 2 Cu 2.66
Cu (0.8165, 0.3165, 0.6330)  2 P 2.34
P (0.4721, 0.4721, 0.9442)  6 Cu 2.34-2.42
Se (0.1994, 0.6994, 0.3988)  6 Cu 2.60-2.68

---

# ZrCo2Pt

A crystal of ZrCo2Pt relaxed with PBEsol (meta-GGA SCAN, Alexandria via LeMat-Bulk).

Values from the calculation:
E_tot   -34.361 eV per atom
Energy of formation from the pure elements   -0.486 eV per atom
Density of states at the Fermi level   3.10 states/eV per cell
Calculated volume   55 Å³ per cell

Unit cell a=3.7742 b=3.7742 c=4.7218 alpha=113.56 beta=113.56 gamma=90.00
Last column: nearest neighbours and their distance in Å.
Positions (direct):
Co (0.5000, 0.5000, 0.0000)  4 Pt 2.67, 4 Zr 2.71, 4 Co 2.71
Co (0.7500, 0.2500, 0.5000)  4 Zr 2.67, 4 Co 2.71, 4 Pt 2.71
Zr (0.2500, 0.7500, 0.5000)  8 Co 2.67-2.71, 4 Pt 2.71
Pt (0.0000, 0.0000, 0.0000)  8 Co 2.67-2.71, 4 Zr 2.71